# TaOsIN2 | Alexandria via LeMat-Bulk | GGA-PBE | relaxed
# Relative energy among the computed polymorphs in eV/atom: 0.0000
# Crystal system: tetragonal
# E_form (uncorrected) in meV per atom: 981
# Total moment in μB/atom: 0.000
# Raw total energy in eV per cell: -36.38
# Fermi-level density of states in states/eV/f.u.: 4.0
data_TaOsIN2
_symmetry_space_group_name_H-M 'P 4/m m m'
_symmetry_Int_Tables_number 123
_symmetry_space_group_name_Hall '-P 4 2'
_cell_length_a 3.874
_cell_length_b 3.874
_cell_length_c 5.559
_cell_angle_alpha 90.00
_cell_angle_beta 90.00
_cell_angle_gamma 90.00
loop_
_atom_site_label
_atom_site_type_symbol
_atom_site_fract_x
_atom_site_fract_y
_atom_site_fract_z
Ta1 Ta 0.000 0.000 0.000
Os1 Os 0.000 0.000 0.500
I1 I 0.500 0.500 0.000
N1 N 0.000 0.500 0.500

---

# TaOsI2N | Alexandria via LeMat-Bulk | GGA-PBE | relaxed
# Relative energy among the computed polymorphs in eV/atom: 0.0000
# Crystal system: tetragonal
# E_form (uncorrected) in meV per atom: 1142
# Total moment in μB/atom: 0.554
# Raw total energy in eV per cell: -28.80
# Fermi-level density of states in states/eV/f.u.: 3.6
data_TaOsI2N
_symmetry_space_group_name_H-M 'P 4/m m m'
_symmetry_Int_Tables_number 123
_symmetry_space_group_name_Hall '-P 4 2'
_cell_length_a 5.526
_cell_length_b 5.526
_cell_length_c 3.690
_cell_angle_alpha 90.00
_cell_angle_beta 90.00
_cell_angle_gamma 90.00
loop_
_atom_site_label
_atom_site_type_symbol
_atom_site_fract_x
_atom_site_fract_y
_atom_site_fract_z
Ta1 Ta 0.000 0.000 0.000
Os1 Os 0.500 0.500 0.500
I1 I 0.000 0.500 0.500
N1 N 0.500 0.500 0.000

---

# TaOsIN2 | Alexandria via LeMat-Bulk | GGA-PBE | relaxed
# Relative energy among the computed polymorphs in eV/atom: 0.5618
# Crystal system: tetragonal
# E_form (uncorrected) in meV per atom: 1543
# Total moment in μB/atom: 0.454
# Raw total energy in eV per cell: -33.57
# Fermi-level density of states in states/eV/f.u.: 5.5
data_TaOsIN2
_symmetry_space_group_name_H-M 'P 4/m m m'
_symmetry_Int_Tables_number 123
_symmetry_space_group_name_Hall '-P 4 2'
_cell_length_a 3.891
_cell_length_b 3.891
_cell_length_c 5.863
_cell_angle_alpha 90.00
_cell_angle_beta 90.00
_cell_angle_gamma 90.00
loop_
_atom_site_label
_atom_site_type_symbol
_atom_site_fract_x
_atom_site_fract_y
_atom_site_fract_z
Ta1 Ta 0.000 0.000 0.000
Os1 Os 0.500 0.500 0.500
I1 I 0.500 0.500 0.000
N1 N 0.000 0.500 0.500

---

# TaOsIN2 | Alexandria via LeMat-Bulk | GGA-PBE | relaxed
# Relative energy among the computed polymorphs in eV/atom: 0.3013
# Crystal system: tetragonal
# E_form (uncorrected) in meV per atom: 1283
# Total moment in μB/atom: 0.566
# Raw total energy in eV per cell: -34.87
# Fermi-level density of states in states/eV/f.u.: 3.8
data_TaOsIN2
_symmetry_space_group_name_H-M 'P 4/m m m'
_symmetry_Int_Tables_number 123
_symmetry_space_group_name_Hall '-P 4 2'
_cell_length_a 3.987
_cell_length_b 3.987
_cell_length_c 5.949
_cell_angle_alpha 90.00
_cell_angle_beta 90.00
_cell_angle_gamma 90.00
loop_
_atom_site_label
_atom_site_type_symbol
_atom_site_fract_x
_atom_site_fract_y
_atom_site_fract_z
Ta1 Ta 0.000 0.000 0.000
Os1 Os 0.500 0.500 0.500
I1 I 0.000 0.000 0.500
N1 N 0.000 0.500 0.000

---

# TaOsI2N | Alexandria via LeMat-Bulk | GGA-PBE | relaxed
# Relative energy among the computed polymorphs in eV/atom: 0.1385
# Crystal system: tetragonal
# E_form (uncorrected) in meV per atom: 1281
# Total moment in μB/atom: 0.770
# Raw total energy in eV per cell: -28.10
# Fermi-level density of states in states/eV/f.u.: 5.2
data_TaOsI2N
_symmetry_space_group_name_H-M 'P 4/m m m'
_symmetry_Int_Tables_number 123
_symmetry_space_group_name_Hall '-P 4 2'
_cell_length_a 5.650
_cell_length_b 5.650
_cell_length_c 3.873
_cell_angle_alpha 90.00
_cell_angle_beta 90.00
_cell_angle_gamma 90.00
loop_
_atom_site_label
_atom_site_type_symbol
_atom_site_fract_x
_atom_site_fract_y
_atom_site_fract_z
Ta1 Ta 0.000 0.000 0.000
Os1 Os 0.500 0.500 0.500
I1 I 0.000 0.500 0.000
N1 N 0.000 0.000 0.500

---

# TeOsI2N | Alexandria via LeMat-Bulk | GGA-PBE | relaxed
# Relative energy among the computed polymorphs in eV/atom: 1.2920
# Crystal system: tetragonal
# E_form (uncorrected) in meV per atom: 1892
# Total moment in μB/atom: 0.000
# Raw total energy in eV per cell: -16.34
# Fermi-level density of states in states/eV/f.u.: 10.4
data_TeOsI2N
_symmetry_space_group_name_H-M 'P 4/m m m'
_symmetry_Int_Tables_number 123
_symmetry_space_group_name_Hall '-P 4 2'
_cell_length_a 5.479
_cell_length_b 5.479
_cell_length_c 4.994
_cell_angle_alpha 90.00
_cell_angle_beta 90.00
_cell_angle_gamma 90.00
loop_
_atom_site_label
_atom_site_type_symbol
_atom_site_fract_x
_atom_site_fract_y
_atom_site_fract_z
Te1 Te 0.000 0.000 0.000
Os1 Os 0.000 0.000 0.500
I1 I 0.000 0.500 0.500
N1 N 0.500 0.500 0.000

---

# Te2OsIN | Alexandria via LeMat-Bulk | GGA-PBE | relaxed
# Relative energy among the computed polymorphs in eV/atom: 1.1835
# Crystal system: tetragonal
# E_form (uncorrected) in meV per atom: 1620
# Total moment in μB/atom: 0.000
# Raw total energy in eV per cell: -19.29
# Fermi-level density of states in states/eV/f.u.: 4.9
data_Te2OsIN
_symmetry_space_group_name_H-M 'P 4/m m m'
_symmetry_Int_Tables_number 123
_symmetry_space_group_name_Hall '-P 4 2'
_cell_length_a 4.698
_cell_length_b 4.698
_cell_length_c 4.610
_cell_angle_alpha 90.00
_cell_angle_beta 90.00
_cell_angle_gamma 90.00
loop_
_atom_site_label
_atom_site_type_symbol
_atom_site_fract_x
_atom_site_fract_y
_atom_site_fract_z
Te1 Te 0.000 0.500 0.000
Os1 Os 0.000 0.000 0.500
I1 I 0.500 0.500 0.500
N1 N 0.500 0.500 0.000

---

# Te2OsIN | Alexandria via LeMat-Bulk | GGA-PBE | relaxed
# Relative energy among the computed polymorphs in eV/atom: 1.4258
# Crystal system: tetragonal
# E_form (uncorrected) in meV per atom: 1862
# Total moment in μB/atom: 0.000
# Raw total energy in eV per cell: -18.08
# Fermi-level density of states in states/eV/f.u.: 9.0
data_Te2OsIN
_symmetry_space_group_name_H-M 'P 4/m m m'
_symmetry_Int_Tables_number 123
_symmetry_space_group_name_Hall '-P 4 2'
_cell_length_a 5.097
_cell_length_b 5.097
_cell_length_c 5.563
_cell_angle_alpha 90.00
_cell_angle_beta 90.00
_cell_angle_gamma 90.00
loop_
_atom_site_label
_atom_site_type_symbol
_atom_site_fract_x
_atom_site_fract_y
_atom_site_fract_z
Te1 Te 0.000 0.500 0.000
Os1 Os 0.000 0.000 0.000
I1 I 0.000 0.000 0.500
N1 N 0.500 0.500 0.500